{"formula": "Ce4Ga2Au5", "functional": "GGA-PBE", "state": "optimized geometry", "n_ef_per_ev_cell": 25.32, "energy_ev_per_cell": -52.9, "formation_energy_ev_per_atom": -0.612, "crystal_system": "monoclinic", "sg": "P2/m", "lattice": [[7.7758, 0.0000, 0.0000], [0.0000, 3.7398, 0.0000], [-0.6784, 0.0000, 8.9803]], "species": ["Ce", "Ce", "Ce", "Ce", "Ga", "Ga", "Au", "Au", "Au", "Au", "Au"], "frac_coords": [[0.2236, 0.0000, 0.1360], [0.2731, 0.0000, 0.6377], [0.7269, 0.0000, 0.3623], [0.7764, 0.0000, 0.8640], [0.0670, 0.5000, 0.3800], [0.9330, 0.5000, 0.6200], [0.1199, 0.5000, 0.8779], [0.4049, 0.5000, 0.3613], [0.5000, 0.5000, 0.0000], [0.5951, 0.5000, 0.6387], [0.8801, 0.5000, 0.1221]]}

---

{"formula": "MgTcSnP", "functional": "GGA-PBE", "state": "optimized geometry", "n_ef_per_ev_cell": 2.24, "energy_ev_per_cell": -44.5, "formation_energy_ev_per_atom": -0.216, "crystal_system": "monoclinic", "polymorph_energy_kj_per_mol_atoms": 4.5, "sg": "Cm", "lattice": [[5.4533, 0.0000, 0.0000], [0.0000, 3.7467, 0.0000], [-0.2542, 0.0000, 7.4370]], "species": ["Mg", "Mg", "Tc", "Tc", "Sn", "Sn", "P", "P"], "frac_coords": [[0.0000, 0.0000, 0.0000], [0.5000, 0.5000, 0.0000], [0.0118, 0.0000, 0.3958], [0.5118, 0.5000, 0.3958], [0.1697, 0.5000, 0.6720], [0.6697, 0.0000, 0.6720], [0.3733, 0.0000, 0.2328], [0.8733, 0.5000, 0.2328]]}

---

{"formula": "LiCaZr2", "functional": "GGA-PBE", "state": "optimized geometry", "n_ef_per_ev_cell": 7.39, "energy_ev_per_cell": -40.3, "formation_energy_ev_per_atom": 0.220, "crystal_system": "orthorhombic", "polymorph_energy_kj_per_mol_atoms": 4.8, "sg": "Immm", "lattice": [[3.3275, 0.0000, 0.0000], [0.0000, 5.0820, 0.0000], [0.0000, 0.0000, 11.3697]], "species": ["Li", "Li", "Ca", "Ca", "Zr", "Zr", "Zr", "Zr"], "frac_coords": [[0.0000, 0.0000, 0.0000], [0.5000, 0.5000, 0.5000], [0.0000, 0.0000, 0.5000], [0.5000, 0.5000, 0.0000], [0.0000, 0.5000, 0.2796], [0.0000, 0.5000, 0.7204], [0.5000, 0.0000, 0.2204], [0.5000, 0.0000, 0.7796]]}

---

{"formula": "La4Tb3Sc", "functional": "GGA-PBE", "state": "optimized geometry", "n_ef_per_ev_cell": 33.16, "energy_ev_per_cell": -74.0, "formation_energy_ev_per_atom": 0.366, "crystal_system": "orthorhombic", "polymorph_energy_kj_per_mol_atoms": 12.8, "sg": "Cmmm", "lattice": [[6.8922, 0.0000, 0.0000], [0.0000, 13.2675, 0.0000], [0.0000, 0.0000, 5.9206]], "species": ["La", "La", "La", "La", "La", "La", "La", "La", "Tb", "Tb", "Tb", "Tb", "Tb", "Tb", "Sc", "Sc"], "frac_coords": [[0.0000, 0.2437, 0.0000], [0.0000, 0.7563, 0.0000], [0.2200, 0.0000, 0.5000], [0.2800, 0.5000, 0.5000], [0.5000, 0.2563, 0.0000], [0.5000, 0.7437, 0.0000], [0.7200, 0.5000, 0.5000], [0.7800, 0.0000, 0.5000], [0.0000, 0.5000, 0.0000], [0.2500, 0.2500, 0.5000], [0.2500, 0.7500, 0.5000], [0.5000, 0.0000, 0.0000], [0.7500, 0.2500, 0.5000], [0.7500, 0.7500, 0.5000], [0.0000, 0.0000, 0.0000], [0.5000, 0.5000, 0.0000]]}

---

{"formula": "AcDyZnCd", "functional": "GGA-PBE", "state": "optimized geometry", "n_ef_per_ev_cell": 22.15, "energy_ev_per_cell": -47.2, "formation_energy_ev_per_atom": -0.227, "crystal_system": "cubic", "polymorph_energy_kj_per_mol_atoms": 5.2, "sg": "F-43m", "lattice": [[7.6949, 0.0000, 0.0000], [0.0000, 7.6949, 0.0000], [0.0000, 0.0000, 7.6949]], "species": ["Ac", "Ac", "Ac", "Ac", "Dy", "Dy", "Dy", "Dy", "Zn", "Zn", "Zn", "Zn", "Cd", "Cd", "Cd", "Cd"], "frac_coords": [[0.0000, 0.0000, 0.0000], [0.0000, 0.5000, 0.5000], [0.5000, 0.0000, 0.5000], [0.5000, 0.5000, 0.0000], [0.0000, 0.0000, 0.5000], [0.0000, 0.5000, 0.0000], [0.5000, 0.0000, 0.0000], [0.5000, 0.5000, 0.5000], [0.2500, 0.2500, 0.2500], [0.2500, 0.7500, 0.7500], [0.7500, 0.2500, 0.7500], [0.7500, 0.7500, 0.2500], [0.2500, 0.2500, 0.7500], [0.2500, 0.7500, 0.2500], [0.7500, 0.2500, 0.2500], [0.7500, 0.7500, 0.7500]]}

---

{"formula": "Er5Tl4Co", "functional": "GGA-PBE", "state": "optimized geometry", "n_ef_per_ev_cell": 7.76, "energy_ev_per_cell": -41.2, "formation_energy_ev_per_atom": -0.180, "crystal_system": "tetragonal", "sg": "I4/m", "lattice": [[-5.1067, 5.1067, 2.6034], [5.1067, -5.1067, 2.6034], [5.1067, 5.1067, -2.6034]], "species": ["Er", "Er", "Er", "Er", "Er", "Tl", "Tl", "Tl", "Tl", "Co"], "frac_coords": [[0.0000, 0.0000, 0.0000], [0.3226, 0.6712, 0.9937], [0.3288, 0.3226, 0.6514], [0.6712, 0.6774, 0.3486], [0.6774, 0.3288, 0.0063], [0.0018, 0.3256, 0.3273], [0.3256, 0.9982, 0.3238], [0.6744, 0.0018, 0.6762], [0.9982, 0.6744, 0.6727], [0.5000, 0.5000, 0.0000]]}

---

{"formula": "ZrTaTc2Ni", "functional": "GGA-PBE", "state": "optimized geometry", "n_ef_per_ev_cell": 6.24, "energy_ev_per_cell": -36.2, "formation_energy_ev_per_atom": 2.152, "crystal_system": "tetragonal", "sg": "P4/mmm", "lattice": [[4.6497, 0.0000, 0.0000], [0.0000, 4.6497, 0.0000], [0.0000, 0.0000, 4.9534]], "species": ["Zr", "Ta", "Tc", "Tc", "Ni"], "frac_coords": [[0.0000, 0.0000, 0.0000], [0.0000, 0.0000, 0.5000], [0.0000, 0.5000, 0.0000], [0.5000, 0.0000, 0.0000], [0.5000, 0.5000, 0.5000]]}

---

{"formula": "CaSnTe2I", "functional": "GGA-PBE", "state": "optimized geometry", "raw_formation_energy_ev_per_atom": -0.191, "n_ef_per_ev_cell": 5.34, "energy_ev_per_cell": -14.8, "crystal_system": "tetragonal", "polymorph_energy_kj_per_mol_atoms": 15.1, "sg": "P4/mmm", "lattice": [[5.8847, 0.0000, 0.0000], [0.0000, 5.8847, 0.0000], [0.0000, 0.0000, 5.8400]], "species": ["Ca", "Sn", "Te", "Te", "I"], "frac_coords": [[0.0000, 0.0000, 0.0000], [0.5000, 0.5000, 0.5000], [0.0000, 0.5000, 0.0000], [0.5000, 0.0000, 0.0000], [0.0000, 0.0000, 0.5000]]}